# ZnNiAs2O6 | Alexandria | GGA+U | optimized geometry
data_ZnNiAs2O6
_cell_length_a 11.463
_cell_length_b 10.624
_cell_length_c 6.271
_cell_angle_alpha 90.00
_cell_angle_beta 121.97
_cell_angle_gamma 90.00
_space_group_name_H-M_alt 'C 1 2/c 1'
_space_group_IT_number 15
loop_
_space_group_symop_operation_xyz
'x,y,z'
'-x,-y,-z'
'-x,y,-z+1/2'
'x,-y,z+1/2'
'x+1/2,y+1/2,z'
'-x+1/2,-y+1/2,-z'
'-x+1/2,y+1/2,-z+1/2'
'x+1/2,-y+1/2,z+1/2'
loop_
_atom_site_label
_atom_site_fract_x
_atom_site_fract_y
_atom_site_fract_z
Zn1 0.000 0.219 0.250
Ni1 0.000 0.239 0.750
As1 0.230 0.417 0.198
O1 0.102 0.152 0.608
O2 0.111 0.288 0.115
O3 0.205 0.471 0.886
# Total energy: -5.33 eV/atom
# Crystal system: monoclinic
# Total magnetic moment: 0.199 μB per atom
# D(E_F): 1.48 states/eV per cell